Here is a relaxed structure of CsNa2AgP from Alexandria via LeMat-Bulk. Energies are from GGA-PBE.

Cell lengths 5.643, 5.643, 5.098 Å; angles 90.00, 90.00, 90.00 degrees
Space group P4/mmm (No. 123)
Symmetry-distinct sites (fractional):
Cs: 0.000 0.000 0.000 (multiplicity 1)
Na: 0.000 0.500 0.500 (multiplicity 2)
Ag: 0.500 0.500 0.000 (multiplicity 1)
P: 0.500 0.500 0.500 (multiplicity 1)

Summary:
* electronic total energy: -2.44 eV per atom
* E_form: -85 meV per atom